# Ce8Ir2Pb

A relaxed structure of Ce8Ir2Pb (PBE-GGA, the Alexandria database).

```
11
Lattice="4.210 -6.674 0.000 4.210 6.674 0.000 -1.285 0.000 5.300" Properties=species:S:1:pos:R:3 pbc="T T T"
Ce -0.377 0.000 4.311
Ce 1.968 1.437 2.329
Ce 4.210 3.408 0.000
Ce 1.968 -1.437 2.329
Ce 5.167 1.437 2.971
Ce 4.210 -3.408 0.000
Ce 5.167 -1.437 2.971
Ce 7.511 0.000 0.989
Ir 3.567 3.913 2.650
Ir 3.567 -3.913 2.650
Pb 4.210 0.000 0.000
```

Output
The calculation puts the total energy at -6.59 eV per atom. For the formation enthalpy at 0 K, the calculation gives -0.3303 eV/atom.